Entry 1:
A plane-wave DFT calculation with PBE-GGA was carried out for a relaxed structure of MgReSe2.

The structure belongs to space group P4mm (No. 99); the cell edges are 3.3452, 3.3452 and 6.9336 Å and the angles 90.00°, 90.00° and 90.00°. The inequivalent atoms are Mg at (0.0000, 0.0000, 0.0000), Re at (0.5000, 0.5000, 0.2503), Se at (0.0000, 0.0000, 0.4154) and Se at (0.5000, 0.5000, 0.8565).

As for the total magnetization: 0.0 μB per formula unit. Its final energy is -21.4 eV for the cell shown.

Entry 2:
A plane-wave DFT calculation with PBE-GGA was carried out for a relaxed structure of Mg2ReSe.

The structure belongs to space group Cmm2 (No. 35); the cell edges are 3.1464, 5.1339 and 9.4951 Å and the angles 90.00°, 90.00° and 90.00°. The inequivalent atoms are Mg at (0.0000, 0.0000, 0.0000), Mg at (0.0000, 0.5000, 0.2805), Re at (0.0000, 0.5000, 0.7605) and Se at (0.0000, 0.0000, 0.5579).

As for the total magnetization: 0.0 μB per formula unit. Its final energy is -35.3 eV for the cell shown.

Entry 3:
A plane-wave DFT calculation with PBE-GGA was carried out for a relaxed structure of Mg2ReSe.

The structure belongs to space group Cmmm (No. 65); the cell edges are 3.5470, 4.6537 and 8.5830 Å and the angles 90.00°, 90.00° and 90.00°. The inequivalent atoms are Mg at (0.0000, 0.0000, 0.2410), Re at (0.0000, 0.5000, 0.0000) and Se at (0.0000, 0.5000, 0.5000).

As for the total magnetization: 0.0 μB per formula unit. Its final energy is -37.2 eV for the cell shown.

Entry 4:
A plane-wave DFT calculation with PBE-GGA was carried out for a relaxed structure of Mg4ReSe.

The structure belongs to space group F-43m (No. 216); the cell edges are 7.6746, 7.6746 and 7.6746 Å and the angles 90.00°, 90.00° and 90.00°. The inequivalent atoms are Mg at (0.1234, 0.1234, 0.1234), Re at (0.2500, 0.2500, 0.7500) and Se at (0.0000, 0.0000, 0.5000).

As for the total magnetization: 0.0 μB per formula unit. Its final energy is -75.8 eV for the cell shown.

Entry 5:
A plane-wave DFT calculation with PBE-GGA was carried out for a relaxed structure of MgReSe2.

The structure belongs to space group P2/m (No. 10); the cell edges are 3.4418, 4.0022 and 5.5875 Å and the angles 90.00°, 93.13° and 90.00°. The inequivalent atoms are Mg at (0.0000, 0.0000, 0.0000), Re at (0.5000, 0.0000, 0.5000) and Se at (0.3658, 0.5000, 0.7452).

As for the total magnetization: 0.0 μB per formula unit. Its final energy is -20.2 eV for the cell shown.

Entry 6:
A plane-wave DFT calculation with PBE-GGA was carried out for a relaxed structure of Mg2ReSe.

The structure belongs to space group Cm (No. 8); the cell edges are 10.5612, 3.0275 and 4.9190 Å and the angles 90.00°, 105.36° and 90.00°. The inequivalent atoms are Mg at (0.0000, 0.0000, 0.0000), Mg at (0.1952, 0.0000, 0.6399), Re at (0.2422, 0.5000, 0.1483) and Se at (0.4141, 0.0000, 0.4251).

As for the total magnetization: 0.0 μB per formula unit. Its final energy is -37.8 eV for the cell shown.

Entry 7:
A plane-wave DFT calculation with PBE-GGA was carried out for a relaxed structure of Mg2ReSe.

The structure belongs to space group Amm2 (No. 38); the cell edges are 4.3712, 3.1587 and 10.4089 Å and the angles 90.00°, 90.00° and 90.00°. The inequivalent atoms are Mg at (0.0000, 0.0000, 0.0000), Mg at (0.5000, 0.0000, 0.3381), Re at (0.5000, 0.0000, 0.6068) and Se at (0.0000, 0.0000, 0.7256).

As for the total magnetization: 0.0 μB per formula unit. Its final energy is -37.4 eV for the cell shown.

Entry 8:
A plane-wave DFT calculation with PBE-GGA was carried out for a relaxed structure of MgReSe2.

The structure belongs to space group I-42d (No. 122); the cell edges are 5.9024, 5.9024 and 11.1733 Å and the angles 90.00°, 90.00° and 90.00°. The inequivalent atoms are Mg at (0.0000, 0.0000, 0.0000), Re at (0.0000, 0.0000, 0.5000) and Se at (0.2238, 0.2500, 0.6250).

As for the total magnetization: 0.0 μB per formula unit. Its final energy is -83.1 eV for the cell shown.

Number 1: formation energy (no corrections) -0.09 eV per atom. Number 2: formation energy (no corrections) 0.37 eV per atom. Number 3: formation energy (no corrections) 0.13 eV per atom. Number 4: formation energy (no corrections) 0.56 eV per atom. Number 5: formation energy (no corrections) 0.21 eV per atom. Number 6: formation energy (no corrections) 0.06 eV per atom. Number 7: formation energy (no corrections) 0.11 eV per atom. Number 8: formation energy (no corrections) 0.06 eV per atom.